ZnMo2W | PBE | relaxed

Cell: 4.2205 4.2205 3.4681 Å, 90.00 90.00 90.00°
Fractional coordinates of all 4 atoms:
Mo (0.0000, 0.0000, 0.0000)
Mo (0.5000, 0.5000, 0.0000)
W (0.5000, 0.0000, 0.5000)
Zn (0.0000, 0.5000, 0.5000)

The spin magnetization comes out at 0.000 μB/f.u. The density comes out at 11.9 g cm⁻³. As for the calculated formation energy: 0.197 eV per atom. For the energy, the calculation gives -8.7753 eV per atom.